Pm2ScCd PBE-GGA relaxed; E_tot = -17.0 eV for the cell shown; offset from the most stable computed form = 54 meV per atom; Fermi-level density of states = 5.24 states/eV/f.u.; formation energy from the elements = -0.059 eV/atom; space-group type = Fm-3m (225)
1.0
0.000 3.844 3.844
3.844 0.000 3.844
3.844 3.844 0.000
Pm Sc Cd
2 1 1
Direct
0.250 0.250 0.250 Pm
0.750 0.750 0.750 Pm
0.000 0.000 0.000 Sc
0.500 0.500 0.500 Cd